(1)
Density functional theory data (PBE) for a geometry-optimized Sm10Y4Ho structure.

Unit cell a=7.775 b=9.541 c=9.541 alpha=80.44 beta=65.96 gamma=65.96
Fractional positions:
Sm1 0.250 0.500 0.500
Sm2 0.652 0.298 0.900
Sm3 0.050 0.100 0.298
Sm4 0.448 0.900 0.702
Sm5 0.850 0.702 0.100
Sm6 0.348 0.702 0.100
Sm7 0.750 0.500 0.500
Sm8 0.150 0.298 0.900
Sm9 0.552 0.100 0.298
Sm10 0.950 0.900 0.702
Y1 0.400 0.801 0.400
Y2 0.800 0.600 0.801
Y3 0.200 0.400 0.199
Y4 0.600 0.199 0.600
Ho1 0.000 0.000 0.000

Summary:
- Formation enthalpy at 0 K: 732 meV/atom
- Magnetization: 0.00 μB/f.u.


(2)
Density functional theory data (PBE) for a geometry-optimized Sm6YHo3 structure.

Unit cell a=6.346 b=11.045 c=11.045 alpha=120.89 beta=90.00 gamma=90.00
Fractional positions:
Sm1 0.050 0.715 0.626
Sm2 0.550 0.626 0.715
Sm3 0.356 0.519 0.943
Sm4 0.856 0.943 0.519
Sm5 0.384 0.966 0.034
Sm6 0.650 0.280 0.720
Sm7 0.150 0.720 0.280
Sm8 0.884 0.034 0.966
Sm9 0.356 0.057 0.481
Sm10 0.856 0.481 0.057
Sm11 0.050 0.374 0.285
Sm12 0.550 0.285 0.374
Y1 0.108 0.193 0.807
Y2 0.608 0.807 0.193
Ho1 0.474 0.946 0.718
Ho2 0.974 0.718 0.946
Ho3 0.084 0.387 0.613
Ho4 0.584 0.613 0.387
Ho5 0.974 0.054 0.282
Ho6 0.474 0.282 0.054

Summary:
- Formation enthalpy at 0 K: 150 meV/atom
- Magnetization: 0.00 μB/f.u.
- E above lowest polymorph: 24 meV/atom


(3)
Density functional theory data (PBE) for a geometry-optimized SmYHo6 structure.

Unit cell a=5.878 b=6.935 c=6.935 alpha=116.10 beta=90.00 gamma=90.00
Fractional positions:
Sm1 0.500 0.000 0.000
Y1 0.500 0.500 0.500
Ho1 0.500 0.000 0.500
Ho2 0.500 0.500 0.000
Ho3 0.000 0.253 0.253
Ho4 0.000 0.747 0.747
Ho5 0.000 0.751 0.249
Ho6 0.000 0.249 0.751

Summary:
- Formation enthalpy at 0 K: 126 meV/atom
- Magnetization: 0.00 μB/f.u.
- E above lowest polymorph: 105 meV/atom


(4)
Density functional theory data (PBE) for a geometry-optimized Sm2Y3Ho structure.

Unit cell a=3.518 b=9.098 c=13.007 alpha=78.05 beta=82.23 gamma=78.85
Fractional positions:
Sm1 0.819 0.480 0.881
Sm2 0.181 0.520 0.119
Sm3 0.657 0.156 0.530
Sm4 0.343 0.844 0.470
Y1 0.038 0.138 0.787
Y2 0.962 0.862 0.213
Y3 0.599 0.828 0.974
Y4 0.401 0.172 0.026
Y5 0.738 0.816 0.708
Y6 0.262 0.184 0.292
Ho1 0.437 0.483 0.643
Ho2 0.563 0.517 0.357

Summary:
- Formation enthalpy at 0 K: 117 meV/atom
- Magnetization: 0.00 μB/f.u.
- E above lowest polymorph: 0 meV/atom


(5)
Density functional theory data (PBE) for a geometry-optimized Sm5Y3Ho3 structure.

Unit cell a=3.453 b=11.220 c=11.220 alpha=120.00 beta=90.00 gamma=90.00
Fractional positions:
Sm1 0.500 0.667 0.333
Sm2 0.500 0.333 0.667
Sm3 0.500 0.340 0.000
Sm4 0.500 0.660 0.660
Sm5 0.500 0.000 0.340
Y1 0.500 0.839 0.000
Y2 0.500 0.161 0.161
Y3 0.500 0.000 0.839
Ho1 0.000 0.593 0.000
Ho2 0.000 0.000 0.593
Ho3 0.000 0.407 0.407

Summary:
- Formation enthalpy at 0 K: 341 meV/atom
- Magnetization: 0.00 μB/f.u.
- E above lowest polymorph: 0 meV/atom


(6)
Density functional theory data (PBE) for a geometry-optimized Sm12YHo2 structure.

Unit cell a=6.769 b=6.769 c=24.838 alpha=90.00 beta=90.00 gamma=63.74
Fractional positions:
Sm1 0.500 0.500 0.800
Sm2 0.000 0.000 0.800
Sm3 0.751 0.749 0.870
Sm4 0.251 0.751 0.923
Sm5 0.000 0.000 0.325
Sm6 0.249 0.749 0.077
Sm7 0.773 0.273 0.560
Sm8 0.500 0.500 0.325
Sm9 0.249 0.251 0.870
Sm10 0.749 0.751 0.130
Sm11 0.268 0.232 0.586
Sm12 0.727 0.227 0.440
Sm13 0.000 0.000 0.675
Sm14 0.232 0.268 0.414
Sm15 0.251 0.249 0.130
Sm16 0.768 0.732 0.414
Sm17 0.732 0.768 0.586
Sm18 0.000 0.000 0.200
Sm19 0.227 0.727 0.560
Sm20 0.500 0.500 0.675
Sm21 0.749 0.249 0.923
Sm22 0.500 0.500 0.200
Sm23 0.273 0.773 0.440
Sm24 0.751 0.251 0.077
Y1 0.500 0.000 0.000
Y2 0.000 0.500 0.000
Ho1 0.500 0.000 0.270
Ho2 0.000 0.500 0.266
Ho3 0.000 0.500 0.730
Ho4 0.500 0.000 0.734

Summary:
- Formation enthalpy at 0 K: 162 meV/atom
- Magnetization: 0.00 μB/f.u.


(7)
Density functional theory data (PBE) for a geometry-optimized Sm7Y4Ho structure.

Unit cell a=6.003 b=11.665 c=6.736 alpha=83.95 beta=63.54 gamma=75.09
Fractional positions:
Sm1 0.789 0.923 0.499
Sm2 0.211 0.077 0.501
Sm3 0.063 0.682 0.193
Sm4 0.937 0.318 0.807
Sm5 0.369 0.500 0.761
Sm6 0.500 0.000 0.000
Sm7 0.631 0.500 0.239
Y1 0.641 0.224 0.494
Y2 0.359 0.776 0.506
Y3 0.758 0.679 0.804
Y4 0.242 0.321 0.196
Ho1 0.000 0.000 0.000

Summary:
- Formation enthalpy at 0 K: 261 meV/atom
- Magnetization: 0.00 μB/f.u.


(8)
Density functional theory data (PBE) for a geometry-optimized Sm3Y7Ho2 structure.

Unit cell a=3.578 b=5.848 c=18.811 alpha=93.21 beta=90.00 gamma=90.00
Fractional positions:
Sm1 0.500 0.500 0.000
Sm2 0.000 0.221 0.366
Sm3 0.000 0.779 0.634
Y1 0.500 0.743 0.463
Y2 0.500 0.257 0.537
Y3 0.000 0.687 0.144
Y4 0.000 0.000 0.000
Y5 0.000 0.313 0.856
Y6 0.500 0.809 0.822
Y7 0.500 0.191 0.178
Ho1 0.500 0.709 0.294
Ho2 0.500 0.291 0.706

Summary:
- Formation enthalpy at 0 K: 88 meV/atom
- Magnetization: 0.00 μB/f.u.
- E above lowest polymorph: 4 meV/atom


Copy entry 3 word for word.
Density functional theory data (PBE) for a geometry-optimized SmYHo6 structure.

Unit cell a=5.878 b=6.935 c=6.935 alpha=116.10 beta=90.00 gamma=90.00
Fractional positions:
Sm1 0.500 0.000 0.000
Y1 0.500 0.500 0.500
Ho1 0.500 0.000 0.500
Ho2 0.500 0.500 0.000
Ho3 0.000 0.253 0.253
Ho4 0.000 0.747 0.747
Ho5 0.000 0.751 0.249
Ho6 0.000 0.249 0.751

Summary:
- Formation enthalpy at 0 K: 126 meV/atom
- Magnetization: 0.00 μB/f.u.
- E above lowest polymorph: 105 meV/atom